First-principles (PBE) data for NbRe3Cl after structural relaxation, as listed in the Alexandria database.

Output
The value obtained for the energy relative to the lowest polymorph listed for this composition is 0 meV per atom. The calculation puts the raw formation energy at 1.42 eV per atom. The calculation puts the total magnetization at 0.00 μB per formula unit. As for the electronic total energy: -8.436 eV per atom.

Unit cell a=4.3583 b=4.3583 c=4.3583 alpha=90.00 beta=90.00 gamma=90.00
Space group Pm-3m (No. 221)
Symmetry-distinct sites (fractional):
Nb 0.0000 0.0000 0.0000 x1
Re 0.0000 0.5000 0.5000 x3
Cl 0.5000 0.5000 0.5000 x1